# 1
Entry from Alexandria: an optimized crystal structure of LuTiAgRh (PBE).

## Properties
As for the crystal system: cubic. The space group is F-43m, No. 216. The value obtained for the calculated formation energy is -37 kJ/mol of atoms.

Structure (CIF):
```
data_LuTiAgRh
_chemical_formula_sum 'Lu1 Ti1 Ag1 Rh1'
_symmetry_space_group_name_H-M 'P 1'
_symmetry_Int_Tables_number 1
_symmetry_space_group_name_Hall 'P 1'
_cell_length_a 4.700
_cell_length_b 4.700
_cell_length_c 4.700
_cell_angle_alpha 60.00
_cell_angle_beta 60.00
_cell_angle_gamma 60.00
loop_
_atom_site_label
_atom_site_type_symbol
_atom_site_fract_x
_atom_site_fract_y
_atom_site_fract_z
_atom_site_occupancy
Lu1 Lu 0.000 0.000 0.000 1
Ti1 Ti 0.500 0.500 0.500 1
Rh1 Rh 0.750 0.750 0.750 1
Ag1 Ag 0.250 0.250 0.250 1
```

=====

# 2
Entry from Alexandria: an optimized crystal structure of LuTlAgRh (PBE).

## Properties
As for the crystal system: cubic. The space group is F-43m, No. 216. The value obtained for the calculated formation energy is -30 kJ/mol of atoms.

Structure (CIF):
```
data_LuTlAgRh
_chemical_formula_sum 'Lu1 Tl1 Ag1 Rh1'
_symmetry_space_group_name_H-M 'P 1'
_symmetry_Int_Tables_number 1
_symmetry_space_group_name_Hall 'P 1'
_cell_length_a 4.813
_cell_length_b 4.813
_cell_length_c 4.813
_cell_angle_alpha 60.00
_cell_angle_beta 60.00
_cell_angle_gamma 60.00
loop_
_atom_site_label
_atom_site_type_symbol
_atom_site_fract_x
_atom_site_fract_y
_atom_site_fract_z
_atom_site_occupancy
Rh1 Rh 0.750 0.750 0.750 1
Ag1 Ag 0.250 0.250 0.250 1
Tl1 Tl 0.500 0.500 0.500 1
Lu1 Lu 0.000 0.000 0.000 1
```

=====

# 3
Entry from Alexandria: an optimized crystal structure of TmLuAgRh (PBE).

## Properties
As for the crystal system: cubic. The space group is F-43m, No. 216. The value obtained for the calculated formation energy is -61 kJ/mol of atoms.

Structure (CIF):
```
data_TmLuAgRh
_chemical_formula_sum 'Tm1 Lu1 Ag1 Rh1'
_symmetry_space_group_name_H-M 'P 1'
_symmetry_Int_Tables_number 1
_symmetry_space_group_name_Hall 'P 1'
_cell_length_a 4.903
_cell_length_b 4.903
_cell_length_c 4.903
_cell_angle_alpha 60.00
_cell_angle_beta 60.00
_cell_angle_gamma 60.00
loop_
_atom_site_label
_atom_site_type_symbol
_atom_site_fract_x
_atom_site_fract_y
_atom_site_fract_z
_atom_site_occupancy
Lu1 Lu 0.500 0.500 0.500 1
Tm1 Tm 0.000 0.000 0.000 1
Ag1 Ag 0.750 0.750 0.750 1
Rh1 Rh 0.250 0.250 0.250 1
```

=====

# 4
Entry from Alexandria: an optimized crystal structure of YLuAgRh (PBE).

## Properties
As for the crystal system: cubic. The space group is F-43m, No. 216. The value obtained for the calculated formation energy is -58 kJ/mol of atoms.

Structure (CIF):
```
data_YLuAgRh
_chemical_formula_sum 'Y1 Lu1 Ag1 Rh1'
_symmetry_space_group_name_H-M 'P 1'
_symmetry_Int_Tables_number 1
_symmetry_space_group_name_Hall 'P 1'
_cell_length_a 4.945
_cell_length_b 4.945
_cell_length_c 4.945
_cell_angle_alpha 60.00
_cell_angle_beta 60.00
_cell_angle_gamma 60.00
loop_
_atom_site_label
_atom_site_type_symbol
_atom_site_fract_x
_atom_site_fract_y
_atom_site_fract_z
_atom_site_occupancy
Ag1 Ag 0.500 0.500 0.500 1
Rh1 Rh 0.000 0.000 0.000 1
Y1 Y 0.750 0.750 0.750 1
Lu1 Lu 0.250 0.250 0.250 1
```

=====

# 5
Entry from Alexandria: an optimized crystal structure of Lu2AgRu (PBE).

## Properties
The value obtained for the energy above the most stable polymorph in this dataset is 67 meV/atom. As for the crystal system: cubic. The space group is Fm-3m, No. 225. The value obtained for the calculated formation energy is -42 kJ/mol of atoms.

Structure (CIF):
```
data_Lu2AgRu
_chemical_formula_sum 'Lu2 Ag1 Ru1'
_symmetry_space_group_name_H-M 'P 1'
_symmetry_Int_Tables_number 1
_symmetry_space_group_name_Hall 'P 1'
_cell_length_a 4.858
_cell_length_b 4.858
_cell_length_c 4.858
_cell_angle_alpha 60.00
_cell_angle_beta 60.00
_cell_angle_gamma 60.00
loop_
_atom_site_label
_atom_site_type_symbol
_atom_site_fract_x
_atom_site_fract_y
_atom_site_fract_z
_atom_site_occupancy
Lu1 Lu 0.250 0.250 0.250 1
Lu2 Lu 0.750 0.750 0.750 1
Ag1 Ag 0.500 0.500 0.500 1
Ru1 Ru 0.000 0.000 0.000 1
```

=====

# 6
Entry from Alexandria: an optimized crystal structure of Lu2AgRu (PBE).

## Properties
The value obtained for the energy above the most stable polymorph in this dataset is 0 meV/atom. As for the crystal system: tetragonal. The space group is P4/mmm, No. 123. The value obtained for the calculated formation energy is -48 kJ/mol of atoms.

Structure (CIF):
```
data_Lu2AgRu
_chemical_formula_sum 'Lu2 Ag1 Ru1'
_symmetry_space_group_name_H-M 'P 1'
_symmetry_Int_Tables_number 1
_symmetry_space_group_name_Hall 'P 1'
_cell_length_a 3.350
_cell_length_b 3.350
_cell_length_c 7.376
_cell_angle_alpha 90.00
_cell_angle_beta 90.00
_cell_angle_gamma 90.00
loop_
_atom_site_label
_atom_site_type_symbol
_atom_site_fract_x
_atom_site_fract_y
_atom_site_fract_z
_atom_site_occupancy
Ag1 Ag 0.500 0.500 0.500 1
Ru1 Ru 0.500 0.500 0.000 1
Lu1 Lu 0.000 0.000 0.779 1
Lu2 Lu 0.000 0.000 0.221 1
```

=====

# 7
Entry from Alexandria: an optimized crystal structure of LuAgSnRu (PBE).

## Properties
As for the crystal system: cubic. The space group is F-43m, No. 216. The value obtained for the calculated formation energy is -26 kJ/mol of atoms.

Structure (CIF):
```
data_LuAgSnRu
_chemical_formula_sum 'Lu1 Ag1 Sn1 Ru1'
_symmetry_space_group_name_H-M 'P 1'
_symmetry_Int_Tables_number 1
_symmetry_space_group_name_Hall 'P 1'
_cell_length_a 4.756
_cell_length_b 4.756
_cell_length_c 4.756
_cell_angle_alpha 60.00
_cell_angle_beta 60.00
_cell_angle_gamma 60.00
loop_
_atom_site_label
_atom_site_type_symbol
_atom_site_fract_x
_atom_site_fract_y
_atom_site_fract_z
_atom_site_occupancy
Ag1 Ag 0.250 0.250 0.250 1
Lu1 Lu 0.000 0.000 0.000 1
Sn1 Sn 0.500 0.500 0.500 1
Ru1 Ru 0.750 0.750 0.750 1
```

=====

# 8
Entry from Alexandria: an optimized crystal structure of LuTiAgRu (PBE).

## Properties
As for the crystal system: cubic. The space group is F-43m, No. 216. The value obtained for the calculated formation energy is -23 kJ/mol of atoms.

Structure (CIF):
```
data_LuTiAgRu
_chemical_formula_sum 'Lu1 Ti1 Ag1 Ru1'
_symmetry_space_group_name_H-M 'P 1'
_symmetry_Int_Tables_number 1
_symmetry_space_group_name_Hall 'P 1'
_cell_length_a 4.677
_cell_length_b 4.677
_cell_length_c 4.677
_cell_angle_alpha 60.00
_cell_angle_beta 60.00
_cell_angle_gamma 60.00
loop_
_atom_site_label
_atom_site_type_symbol
_atom_site_fract_x
_atom_site_fract_y
_atom_site_fract_z
_atom_site_occupancy
Lu1 Lu 0.750 0.750 0.750 1
Ag1 Ag 0.000 0.000 0.000 1
Ti1 Ti 0.250 0.250 0.250 1
Ru1 Ru 0.500 0.500 0.500 1
```

=====

# 9
Entry from Alexandria: an optimized crystal structure of YLuAgRu (PBE).

## Properties
As for the crystal system: cubic. The space group is F-43m, No. 216. The value obtained for the calculated formation energy is -37 kJ/mol of atoms.

Structure (CIF):
```
data_YLuAgRu
_chemical_formula_sum 'Y1 Lu1 Ag1 Ru1'
_symmetry_space_group_name_H-M 'P 1'
_symmetry_Int_Tables_number 1
_symmetry_space_group_name_Hall 'P 1'
_cell_length_a 4.919
_cell_length_b 4.919
_cell_length_c 4.919
_cell_angle_alpha 60.00
_cell_angle_beta 60.00
_cell_angle_gamma 60.00
loop_
_atom_site_label
_atom_site_type_symbol
_atom_site_fract_x
_atom_site_fract_y
_atom_site_fract_z
_atom_site_occupancy
Ru1 Ru 0.750 0.750 0.750 1
Y1 Y 0.500 0.500 0.500 1
Ag1 Ag 0.250 0.250 0.250 1
Lu1 Lu 0.000 0.000 0.000 1
```

=====

# 10
Entry from Alexandria: an optimized crystal structure of LuAgS2 (PBE).

## Properties
The calculation puts the formation energy from raw total energies at -1.1793 eV/atom. As for the crystal system: tetragonal. The space group is P4/mmm, No. 123.

Structure (CIF):
```
data_LuAgS2
_chemical_formula_sum 'Lu1 Ag1 S2'
_symmetry_space_group_name_H-M 'P 1'
_symmetry_Int_Tables_number 1
_symmetry_space_group_name_Hall 'P 1'
_cell_length_a 3.852
_cell_length_b 3.852
_cell_length_c 5.436
_cell_angle_alpha 90.00
_cell_angle_beta 90.00
_cell_angle_gamma 90.00
loop_
_atom_site_label
_atom_site_type_symbol
_atom_site_fract_x
_atom_site_fract_y
_atom_site_fract_z
_atom_site_occupancy
S1 S 0.500 0.500 0.000 1
S2 S 0.000 0.000 0.500 1
Lu1 Lu 0.500 0.500 0.500 1
Ag1 Ag 0.000 0.000 0.000 1
```

=====

# 11
Entry from Alexandria: an optimized crystal structure of LuAgS2 (PBE).

## Properties
The calculation puts the formation energy from raw total energies at -1.2889 eV/atom. As for the crystal system: tetragonal. The space group is I4_1/amd, No. 141.

Structure (CIF):
```
data_LuAgS2
_chemical_formula_sum 'Lu2 Ag2 S4'
_symmetry_space_group_name_H-M 'P 1'
_symmetry_Int_Tables_number 1
_symmetry_space_group_name_Hall 'P 1'
_cell_length_a 7.124
_cell_length_b 7.124
_cell_length_c 7.124
_cell_angle_alpha 136.04
_cell_angle_beta 136.04
_cell_angle_gamma 63.92
loop_
_atom_site_label
_atom_site_type_symbol
_atom_site_fract_x
_atom_site_fract_y
_atom_site_fract_z
_atom_site_occupancy
Lu1 Lu 0.750 0.250 0.500 1
Lu2 Lu 0.000 0.000 0.000 1
Ag1 Ag 0.250 0.750 0.500 1
Ag2 Ag 0.500 0.500 0.000 1
S1 S 0.972 0.472 0.500 1
S2 S 0.222 0.222 0.000 1
S3 S 0.528 0.028 0.500 1
S4 S 0.778 0.778 0.000 1
```

=====

# 12
Entry from Alexandria: an optimized crystal structure of LuAg2Sb (PBE).

## Properties
The calculation puts the formation energy from raw total energies at -0.3775 eV/atom. As for the crystal system: tetragonal. The space group is P4/mmm, No. 123.

Structure (CIF):
```
data_LuAg2Sb
_chemical_formula_sum 'Lu1 Ag2 Sb1'
_symmetry_space_group_name_H-M 'P 1'
_symmetry_Int_Tables_number 1
_symmetry_space_group_name_Hall 'P 1'
_cell_length_a 4.855
_cell_length_b 4.247
_cell_length_c 4.247
_cell_angle_alpha 90.00
_cell_angle_beta 90.00
_cell_angle_gamma 90.00
loop_
_atom_site_label
_atom_site_type_symbol
_atom_site_fract_x
_atom_site_fract_y
_atom_site_fract_z
_atom_site_occupancy
Ag1 Ag 0.000 0.000 0.500 1
Ag2 Ag 0.000 0.500 0.000 1
Lu1 Lu 0.500 0.000 0.000 1
Sb1 Sb 0.500 0.500 0.500 1
```

=====

# 13
Entry from Alexandria: an optimized crystal structure of LuAgSb2 (PBE).

## Properties
The calculation puts the formation energy from raw total energies at -0.3886 eV/atom. As for the crystal system: tetragonal. The space group is P4/mmm, No. 123.

Structure (CIF):
```
data_LuAgSb2
_chemical_formula_sum 'Lu1 Ag1 Sb2'
_symmetry_space_group_name_H-M 'P 1'
_symmetry_Int_Tables_number 1
_symmetry_space_group_name_Hall 'P 1'
_cell_length_a 4.155
_cell_length_b 4.785
_cell_length_c 4.785
_cell_angle_alpha 90.00
_cell_angle_beta 90.00
_cell_angle_gamma 90.00
loop_
_atom_site_label
_atom_site_type_symbol
_atom_site_fract_x
_atom_site_fract_y
_atom_site_fract_z
_atom_site_occupancy
Sb1 Sb 0.000 0.000 0.500 1
Sb2 Sb 0.000 0.500 0.000 1
Lu1 Lu 0.500 0.500 0.500 1
Ag1 Ag 0.500 0.000 0.000 1
```

=====

# 14
Entry from Alexandria: an optimized crystal structure of LuAgSb (PBE).

## Properties
The calculation puts the formation energy from raw total energies at -0.4436 eV/atom. As for the crystal system: trigonal. The space group is P3m1, No. 156.

Structure (CIF):
```
data_LuAgSb
_chemical_formula_sum 'Lu1 Ag1 Sb1'
_symmetry_space_group_name_H-M 'P 1'
_symmetry_Int_Tables_number 1
_symmetry_space_group_name_Hall 'P 1'
_cell_length_a 4.106
_cell_length_b 4.514
_cell_length_c 4.514
_cell_angle_alpha 120.00
_cell_angle_beta 90.00
_cell_angle_gamma 90.00
loop_
_atom_site_label
_atom_site_type_symbol
_atom_site_fract_x
_atom_site_fract_y
_atom_site_fract_z
_atom_site_occupancy
Ag1 Ag 0.053 0.000 0.000 1
Lu1 Lu 0.688 0.667 0.333 1
Sb1 Sb 0.259 0.333 0.667 1
```

=====

# 15
Entry from Alexandria: an optimized crystal structure of Lu2ScAg (PBE).

## Properties
The value obtained for the energy above the most stable polymorph in this dataset is 350 meV/atom. As for the crystal system: trigonal. The space group is R-3m, No. 166. The value obtained for the calculated formation energy is 22 kJ/mol of atoms.

Structure (CIF):
```
data_Lu2ScAg
_chemical_formula_sum 'Lu2 Sc1 Ag1'
_symmetry_space_group_name_H-M 'P 1'
_symmetry_Int_Tables_number 1
_symmetry_space_group_name_Hall 'P 1'
_cell_length_a 3.255
_cell_length_b 3.255
_cell_length_c 11.414
_cell_angle_alpha 81.80
_cell_angle_beta 81.80
_cell_angle_gamma 60.00
loop_
_atom_site_label
_atom_site_type_symbol
_atom_site_fract_x
_atom_site_fract_y
_atom_site_fract_z
_atom_site_occupancy
Lu1 Lu 0.906 0.906 0.282 1
Lu2 Lu 0.094 0.094 0.718 1
Ag1 Ag 0.500 0.500 0.500 1
Sc1 Sc 0.000 0.000 0.000 1
```

=====

Summary of E_tot in eV per atom
-6.03, -4.59, -5.43, -5.90, -5.73, -5.79, -5.43, -6.38, -6.16, -5.09, -5.20, -3.96, -4.29, -4.28, -4.33
(order as listed above)